Below is a relaxed structure of AgHg2PdF6, with properties calculated at the PBE-GGA level.

Calculated values
E_tot, eV per cell: -30.0
Total magnetic moment, μB/f.u.: 0.00
Crystal system: tetragonal

POSCAR file:
```
AgHg2PdF6
1.0
6.171 0.000 0.000
0.000 6.171 0.000
0.000 0.000 4.357
Ag Hg Pd F
1 2 1 6
Direct
0.000 0.000 0.000
0.000 0.500 0.491
0.500 0.000 0.491
0.500 0.500 0.007
0.000 0.000 0.500
0.270 0.270 0.010
0.270 0.730 0.010
0.500 0.500 0.507
0.730 0.270 0.010
0.730 0.730 0.010
```

=====

Below is a relaxed structure of ThHg2Au2, with properties calculated at the PBE-GGA level.

Calculated values
E_tot, eV per cell: -16.4
Total magnetic moment, μB/f.u.: 0.00
Crystal system: monoclinic

POSCAR file:
```
ThHg2Au2
1.0
4.383 -2.538 0.000
4.383 2.538 0.000
-3.019 0.000 5.151
Th Hg Au
1 2 2
Direct
0.000 0.000 0.000
0.212 0.212 0.645
0.788 0.788 0.355
0.412 0.412 0.228
0.588 0.588 0.772
```

=====

Below is a relaxed structure of YHfZrCr2, with properties calculated at the PBE-GGA level.

Calculated values
E_tot, eV per cell: -35.1
Total magnetic moment, μB/f.u.: 0.00
Crystal system: tetragonal

POSCAR file:
```
YHfZrCr2
1.0
4.582 0.000 0.000
0.000 4.582 0.000
0.000 0.000 5.062
Y Hf Zr Cr
1 1 1 2
Direct
0.000 0.000 0.000
0.000 0.000 0.500
0.500 0.500 0.500
0.000 0.500 0.000
0.500 0.000 0.000
```